Crystalline Na2GaNiF7 at its relaxed geometry, computed with GGA+U.

The magnetic moment comes out at 4.00 Bohr magnetons per cell. For the total DFT energy (no corrections), the calculation gives -4.54 eV/atom.

Cell and atoms, written as POSCAR:
```
Na2GaNiF7
1.0
7.3452 -0.0031 -0.0042
-0.0626 7.3450 0.0042
-3.4984 -3.8127 5.2131
F Ga Ni Na
14 2 2 4
direct
0.1785 0.8116 0.7599
0.8613 0.5890 0.2723
0.8215 0.5814 0.6331
0.4484 0.6884 0.3669
0.8167 0.0890 0.7277
0.4484 0.0814 0.7599
0.1833 0.9110 0.2723
0.1387 0.4110 0.7277
0.1785 0.4186 0.3669
0.5516 0.3116 0.6331
0.3920 0.2500 0.1420
0.6080 0.7500 0.8580
0.5516 0.9186 0.2401
0.8215 0.1884 0.2401
0.5000 0.0000 0.5000
0.0000 0.5000 0.5000
0.5000 0.0000 0.0000
0.5000 0.5000 0.5000
0.5000 0.5000 0.0000
0.0000 0.0000 0.0000
0.0000 0.5000 0.0000
0.0000 0.0000 0.5000
```